Here is crystalline CoIF2 at its relaxed geometry from Alexandria. Energies are from PBE+U.

Unit cell a=4.5403 b=4.5403 c=4.5403 alpha=60.00 beta=60.00 gamma=60.00
Last column: magnetic moment on the atom in μB.
Atoms (fractional coordinates):
Co (0.0000, 0.0000, 0.0000)  2.72
F (0.2500, 0.2500, 0.2500)  0.23
F (0.7500, 0.7500, 0.7500)  0.23
I (0.5000, 0.5000, 0.5000)  0.55

Calculated values
E	-2.87	eV per atom
E above lowest polymorph	1.185	eV/atom
V	66.2	Å³ per cell
magnetization	0.9975	μB/atom